Material: SrAsPd2
Method: DFT, GGA-PBE
State: optimized geometry

Density = 7.61 Mg/m³
Formation enthalpy at 0 K = -761.6 meV/atom
Raw total energy = -79.05 eV per cell
Spin magnetization = 0.0 μB per cell
Calculated volume = 20.472 A^3/atom

The structure in POSCAR format:
```
SrAsPd2
1.0
5.899 0.000 0.000
0.000 7.091 0.000
0.000 0.000 7.831
As Sr Pd
4 4 8
Cartesian
0.858 5.319 1.025 As
5.040 1.773 6.805 As
2.091 5.319 4.941 As
3.808 1.773 2.890 As
3.758 5.319 7.639 Sr
2.141 1.773 0.192 Sr
0.808 1.773 4.107 Sr
5.090 5.319 3.723 Sr
5.371 0.373 1.326 Pd
0.527 3.918 6.505 Pd
2.422 6.719 2.590 Pd
2.422 3.918 2.590 Pd
0.527 6.719 6.505 Pd
3.477 3.173 5.241 Pd
5.371 3.173 1.326 Pd
3.477 0.373 5.241 Pd
```

Material: SrAs6Pd12
Method: DFT, GGA-PBE
State: optimized geometry

Density = 8.75 Mg/m³
Formation enthalpy at 0 K = -401.3 meV/atom
Raw total energy = -99.52 eV per cell
Spin magnetization = 0.0 μB per cell
Calculated volume = 18.111 A^3/atom

The structure in POSCAR format:
```
SrAs6Pd12
1.0
-4.313 -5.632 1.668
3.613 1.371 6.178
-4.587 5.623 -0.670
Pd As Sr
12 6 1
Cartesian
-3.272 0.229 1.488 Pd
-4.127 -0.734 4.486 Pd
-2.541 -3.539 4.464 Pd
-5.718 2.275 1.020 Pd
-5.615 -1.945 1.897 Pd
-1.160 2.096 2.690 Pd
-2.014 1.133 5.688 Pd
-4.200 2.266 3.862 Pd
0.431 -0.913 6.155 Pd
0.329 3.307 5.279 Pd
-1.087 -0.904 3.313 Pd
-2.746 4.901 2.711 Pd
0.278 0.925 4.421 As
-3.273 2.766 1.456 As
-3.154 -2.107 2.469 As
-2.014 -1.404 5.719 As
-2.132 3.469 4.707 As
-5.564 0.437 2.754 As
0.000 0.000 0.000 Sr
```

The lowest formation enthalpy at 0 K belongs to which entry? SrAsPd2